Here is a relaxed structure of ZrFeTc2 from the Open Quantum Materials Database. Energies are from GGA-PBE.

```
data_ZrFeTc2
_chemical_formula_sum 'Zr1 Fe1 Tc2'
_space_group_name_H-M_alt 'P 1'
_space_group_IT_number 1
_cell_length_a 4.436
_cell_length_b 4.436
_cell_length_c 4.436
_cell_angle_alpha 60.00
_cell_angle_beta 60.00
_cell_angle_gamma 60.00
loop_
_space_group_symop_operation_xyz
'x,y,z'
loop_
_atom_site_label
_atom_site_type_symbol
_atom_site_fract_x
_atom_site_fract_y
_atom_site_fract_z
Zr1 Zr 0.000 0.000 0.000
Fe1 Fe 0.250 0.250 0.250
Tc1 Tc 0.500 0.500 0.500
Tc2 Tc 0.750 0.750 0.750
```

Summary:
**Formation enthalpy at 0 K**: -42.3 meV per atom
**Spin magnetization**: 2.16 μB per formula unit
**Calculated volume**: 15.44 Å³/atom
**ρ**: 9.23 g cm⁻³



Here is a relaxed structure of Fe3Te4 from the Open Quantum Materials Database. Energies are from GGA-PBE.

```
data_Fe3Te4
_chemical_formula_sum 'Fe9 Te12'
_space_group_name_H-M_alt 'P 1'
_space_group_IT_number 1
_cell_length_a 8.943
_cell_length_b 8.943
_cell_length_c 8.943
_cell_angle_alpha 111.82
_cell_angle_beta 111.82
_cell_angle_gamma 111.82
loop_
_space_group_symop_operation_xyz
'x,y,z'
loop_
_atom_site_label
_atom_site_type_symbol
_atom_site_fract_x
_atom_site_fract_y
_atom_site_fract_z
Fe1 Fe 0.022 0.087 0.891
Fe2 Fe 0.087 0.891 0.022
Fe3 Fe 0.186 0.373 0.250
Fe4 Fe 0.250 0.186 0.373
Fe5 Fe 0.373 0.250 0.186
Fe6 Fe 0.648 0.836 0.709
Fe7 Fe 0.709 0.648 0.836
Fe8 Fe 0.836 0.709 0.648
Fe9 Fe 0.891 0.022 0.087
Te1 Te 0.035 0.305 0.433
Te2 Te 0.219 0.953 0.824
Te3 Te 0.305 0.433 0.035
Te4 Te 0.315 0.740 0.444
Te5 Te 0.433 0.035 0.305
Te6 Te 0.444 0.315 0.740
Te7 Te 0.519 0.782 0.907
Te8 Te 0.740 0.444 0.315
Te9 Te 0.782 0.907 0.519
Te10 Te 0.824 0.219 0.953
Te11 Te 0.907 0.519 0.782
Te12 Te 0.953 0.824 0.219
```

Summary:
**Spin magnetization**: 4.67 μB per formula unit
**E**: -37.7 eV/f.u.
**Calculated volume**: 23.66 Å³/atom
**ρ**: 6.80 g cm⁻³



Here is a relaxed structure of Fe9Te8 from the Open Quantum Materials Database. Energies are from GGA-PBE.

```
data_Fe9Te8
_chemical_formula_sum 'Fe9 Te8'
_space_group_name_H-M_alt 'P 1'
_space_group_IT_number 1
_cell_length_a 7.941
_cell_length_b 7.941
_cell_length_c 7.941
_cell_angle_alpha 60.00
_cell_angle_beta 60.00
_cell_angle_gamma 60.00
loop_
_space_group_symop_operation_xyz
'x,y,z'
loop_
_atom_site_label
_atom_site_type_symbol
_atom_site_fract_x
_atom_site_fract_y
_atom_site_fract_z
Fe1 Fe 0.000 0.000 0.000
Fe2 Fe 0.163 0.612 0.612
Fe3 Fe 0.388 0.388 0.388
Fe4 Fe 0.388 0.388 0.837
Fe5 Fe 0.388 0.837 0.388
Fe6 Fe 0.612 0.163 0.612
Fe7 Fe 0.612 0.612 0.163
Fe8 Fe 0.612 0.612 0.612
Fe9 Fe 0.837 0.388 0.388
Te1 Te 0.227 0.227 0.773
Te2 Te 0.227 0.773 0.227
Te3 Te 0.227 0.773 0.773
Te4 Te 0.250 0.250 0.250
Te5 Te 0.750 0.750 0.750
Te6 Te 0.773 0.227 0.227
Te7 Te 0.773 0.227 0.773
Te8 Te 0.773 0.773 0.227
```

Summary:
**Spin magnetization**: 15.76 μB per formula unit
**E**: -99.6 eV/f.u.
**Calculated volume**: 20.83 Å³/atom
**ρ**: 7.14 g cm⁻³